Entry from Alexandria via LeMat-Bulk: a geometry-optimized DyYHo2 structure (PBE).

Geometry as CIF:
```
data_DyYHo2
_chemical_formula_sum 'Dy3 Y3 Ho6'
_cell_length_a 3.5417
_cell_length_b 3.5417
_cell_length_c 34.6294
_cell_angle_alpha 90.00
_cell_angle_beta 90.00
_cell_angle_gamma 120.00
_space_group_name_H-M_alt 'R -3 m'
_space_group_IT_number 166
_space_group_name_Hall '-R 3 2"'
loop_
_atom_site_label
_atom_site_fract_x
_atom_site_fract_y
_atom_site_fract_z
Dy1 0.0000 0.0000 0.0000
Y1 0.0000 0.0000 0.5000
Ho1 0.0000 0.0000 0.2503
```

Energy above the lowest structure with this stoichiometry in kJ per mole of atoms: 1.71
DOS at the Fermi energy in states/eV per atom: 1.49